VASP calculation (PBE) on a relaxed structure of InRh2Pb.

Properties
Space-group type = Cm, No. 8
Magnetic moment = 0.0 μB per cell
DFT total energy = -21.67 eV per cell
DFT formation energy = -129 meV per atom

a = 5.3423 Å, b = 5.3423 Å, c = 4.5931 Å
α = 78.38°, β = 78.38°, γ = 35.32°
Sites, in units of the cell vectors:
In 0.5030 0.5030 0.4158
Rh 0.0113 0.0113 0.9178
Rh 0.2370 0.2370 0.3350
Pb 0.7487 0.7487 0.8314